# 1
# Cs12O3F5 | Alexandria | PBE-GGA | relaxed
data_Cs12O3F5
_space_group_name_H-M_alt 'I a -3 d'
_space_group_IT_number 230
_space_group_name_Hall '-I 4bd 2c 3'
_cell_length_a 18.183
_cell_length_b 18.183
_cell_length_c 18.183
_cell_angle_alpha 90.00
_cell_angle_beta 90.00
_cell_angle_gamma 90.00
loop_
_atom_site_label
_atom_site_type_symbol
_atom_site_fract_x
_atom_site_fract_y
_atom_site_fract_z
Cs1 Cs 0.008 0.046 0.660
O1 O 0.000 0.250 0.125
F1 F 0.000 0.000 0.000
F2 F 0.000 0.250 0.375
# Fermi-level density of states (states/eV per cell): 11.5
# Size of the total moment (μB/f.u.): 0.00
# Volume (A^3/atom): 37.6
# Raw formation energy (meV/atom): -1623
# Calculated total energy (Ry/atom): -0.2460

# 2
# TiMnMoRu | Alexandria | PBE-GGA | relaxed
data_TiMnMoRu
_space_group_name_H-M_alt 'F -4 3 m'
_space_group_IT_number 216
_space_group_name_Hall 'F -4 2 3'
_cell_length_a 6.088
_cell_length_b 6.088
_cell_length_c 6.088
_cell_angle_alpha 90.00
_cell_angle_beta 90.00
_cell_angle_gamma 90.00
loop_
_atom_site_label
_atom_site_type_symbol
_atom_site_fract_x
_atom_site_fract_y
_atom_site_fract_z
Ti1 Ti 0.000 0.000 0.000
Mn1 Mn 0.250 0.250 0.750
Mo1 Mo 0.000 0.000 0.500
Ru1 Ru 0.250 0.250 0.250
# Fermi-level density of states (states/eV per cell): 13.4
# Size of the total moment (μB/f.u.): 0.00
# Volume (A^3/atom): 14.1
# Calculated total energy (Ry/atom): -0.6963

# 3
# Tb3SbSe | Alexandria | PBE-GGA | relaxed
data_Tb3SbSe
_space_group_name_H-M_alt 'P n m a'
_space_group_IT_number 62
_space_group_name_Hall '-P 2ac 2n'
_cell_length_a 8.529
_cell_length_b 4.152
_cell_length_c 15.447
_cell_angle_alpha 90.00
_cell_angle_beta 90.00
_cell_angle_gamma 90.00
loop_
_atom_site_label
_atom_site_type_symbol
_atom_site_fract_x
_atom_site_fract_y
_atom_site_fract_z
Tb1 Tb 0.020 0.250 0.111
Tb2 Tb 0.156 0.250 0.542
Tb3 Tb 0.175 0.750 0.283
Sb1 Sb 0.105 0.750 0.693
Se1 Se 0.186 0.250 0.950
# Fermi-level density of states (states/eV per cell): 9.9
# Size of the total moment (μB/f.u.): 0.00
# Volume (A^3/atom): 27.3
# Raw formation energy (meV/atom): -1170
# Calculated total energy (Ry/atom): -0.4020
# Offset from the most stable computed form (eV/atom): 0.0000

# 4
# CsAl2B | Alexandria | PBE-GGA | relaxed
data_CsAl2B
_space_group_name_H-M_alt 'I 41/a m d'
_space_group_IT_number 141
_cell_length_a 6.755
_cell_length_b 6.755
_cell_length_c 9.632
_cell_angle_alpha 90.00
_cell_angle_beta 90.00
_cell_angle_gamma 90.00
loop_
_space_group_symop_operation_xyz
'x,y,z'
'-x,-y,-z'
'-y+1/4,x+3/4,z+1/4'
'y+1/4,-x+3/4,-z+1/4'
'-x+1/2,-y,z+1/2'
'x+1/2,y,-z+1/2'
'y+1/4,-x+1/4,z+3/4'
'-y+1/4,x+1/4,-z+3/4'
'x,-y,-z'
'-x,y,z'
'-y+1/4,-x+1/4,-z+3/4'
'y+1/4,x+1/4,z+3/4'
'-x+1/2,y,-z+1/2'
'x+1/2,-y,z+1/2'
'y+1/4,x+3/4,-z+1/4'
'-y+1/4,-x+3/4,z+1/4'
'x+1/2,y+1/2,z+1/2'
'-x+1/2,-y+1/2,-z+1/2'
'-y+3/4,x+1/4,z+3/4'
'y+3/4,-x+1/4,-z+3/4'
'-x,-y+1/2,z'
'x,y+1/2,-z'
'y+3/4,-x+3/4,z+1/4'
'-y+3/4,x+3/4,-z+1/4'
'x+1/2,-y+1/2,-z+1/2'
'-x+1/2,y+1/2,z+1/2'
'-y+3/4,-x+3/4,-z+1/4'
'y+3/4,x+3/4,z+1/4'
'-x,y+1/2,-z'
'x,-y+1/2,z'
'y+3/4,x+1/4,-z+3/4'
'-y+3/4,-x+1/4,z+3/4'
loop_
_atom_site_label
_atom_site_type_symbol
_atom_site_fract_x
_atom_site_fract_y
_atom_site_fract_z
Cs1 Cs 0.000 0.250 0.375
Al1 Al 0.000 0.000 0.000
B1 B 0.000 0.250 0.875
# Fermi-level density of states (states/eV per cell): 9.8
# Size of the total moment (μB/f.u.): 0.00
# Volume (A^3/atom): 27.5
# Calculated total energy (Ry/atom): -0.2365

# 5
# SrTlCd | Alexandria | PBE-GGA | relaxed
data_SrTlCd
_space_group_name_H-M_alt 'I 4 m m'
_space_group_IT_number 107
_space_group_name_Hall 'I 4 -2'
_cell_length_a 3.895
_cell_length_b 3.895
_cell_length_c 12.210
_cell_angle_alpha 90.00
_cell_angle_beta 90.00
_cell_angle_gamma 90.00
loop_
_atom_site_label
_atom_site_type_symbol
_atom_site_fract_x
_atom_site_fract_y
_atom_site_fract_z
Sr1 Sr 0.000 0.000 0.000
Tl1 Tl 0.000 0.000 0.686
Cd1 Cd 0.000 0.000 0.325
# Fermi-level density of states (states/eV per cell): 1.9
# Size of the total moment (μB/f.u.): 0.00
# Volume (A^3/atom): 30.9
# Calculated total energy (Ry/atom): -0.1413

# 6
# Co3ReNi4 | Alexandria | PBE-GGA | relaxed
data_Co3ReNi4
_space_group_name_H-M_alt 'C 1 2/m 1'
_space_group_IT_number 12
_space_group_name_Hall '-C 2y'
_cell_length_a 16.975
_cell_length_b 2.467
_cell_length_c 4.744
_cell_angle_alpha 90.00
_cell_angle_beta 106.18
_cell_angle_gamma 90.00
loop_
_atom_site_label
_atom_site_type_symbol
_atom_site_fract_x
_atom_site_fract_y
_atom_site_fract_z
Co1 Co 0.000 0.000 0.000
Co2 Co 0.242 0.000 0.242
Re1 Re 0.000 0.500 0.500
Ni1 Ni 0.129 0.500 0.374
Ni2 Ni 0.129 0.500 0.884
# Fermi-level density of states (states/eV per cell): 19.8
# Size of the total moment (μB/f.u.): 6.39
# Volume (A^3/atom): 11.9
# Calculated total energy (Ry/atom): -0.5042

# 7
# YTaAl | Alexandria | PBE-GGA | relaxed
data_YTaAl
_space_group_name_H-M_alt 'P 4/n m m'
_space_group_IT_number 129
_cell_length_a 4.102
_cell_length_b 4.102
_cell_length_c 8.081
_cell_angle_alpha 90.00
_cell_angle_beta 90.00
_cell_angle_gamma 90.00
loop_
_space_group_symop_operation_xyz
'x,y,z'
'-x,-y,-z'
'-y+1/2,x,z'
'y+1/2,-x,-z'
'-x+1/2,-y+1/2,z'
'x+1/2,y+1/2,-z'
'y,-x+1/2,z'
'-y,x+1/2,-z'
'x+1/2,-y,-z'
'-x+1/2,y,z'
'-y,-x,-z'
'y,x,z'
'-x,y+1/2,-z'
'x,-y+1/2,z'
'y+1/2,x+1/2,-z'
'-y+1/2,-x+1/2,z'
loop_
_atom_site_label
_atom_site_type_symbol
_atom_site_fract_x
_atom_site_fract_y
_atom_site_fract_z
Y1 Y 0.250 0.250 0.159
Ta1 Ta 0.250 0.750 0.500
Al1 Al 0.250 0.250 0.740
# Fermi-level density of states (states/eV per cell): 4.5
# Size of the total moment (μB/f.u.): 0.00
# Volume (A^3/atom): 22.7
# Calculated total energy (Ry/atom): -0.5561
# Offset from the most stable computed form (eV/atom): 0.0000

# 8
# Y2MnZn2 | Alexandria | PBE-GGA | relaxed
data_Y2MnZn2
_space_group_name_H-M_alt 'P 4/m b m'
_space_group_IT_number 127
_space_group_name_Hall '-P 4 2ab'
_cell_length_a 6.816
_cell_length_b 6.816
_cell_length_c 4.428
_cell_angle_alpha 90.00
_cell_angle_beta 90.00
_cell_angle_gamma 90.00
loop_
_atom_site_label
_atom_site_type_symbol
_atom_site_fract_x
_atom_site_fract_y
_atom_site_fract_z
Y1 Y 0.183 0.317 0.000
Mn1 Mn 0.000 0.000 0.500
Zn1 Zn 0.132 0.632 0.500
# Fermi-level density of states (states/eV per cell): 14.9
# Size of the total moment (μB/f.u.): 0.34
# Volume (A^3/atom): 20.6
# Calculated total energy (Ry/atom): -0.3527

# 9
# Pm3ErP | Alexandria | PBE-GGA | relaxed
data_Pm3ErP
_space_group_name_H-M_alt 'P m -3 m'
_space_group_IT_number 221
_space_group_name_Hall '-P 4 2 3'
_cell_length_a 5.529
_cell_length_b 5.529
_cell_length_c 5.529
_cell_angle_alpha 90.00
_cell_angle_beta 90.00
_cell_angle_gamma 90.00
loop_
_atom_site_label
_atom_site_type_symbol
_atom_site_fract_x
_atom_site_fract_y
_atom_site_fract_z
Pm1 Pm 0.000 0.000 0.500
Er1 Er 0.500 0.500 0.500
P1 P 0.000 0.000 0.000
# Fermi-level density of states (states/eV per cell): 8.1
# Size of the total moment (μB/f.u.): 0.00
# Volume (A^3/atom): 33.8
# Calculated total energy (Ry/atom): -0.3844

# 10
# TcRh | Alexandria | PBE-GGA | relaxed
data_TcRh
_space_group_name_H-M_alt 'P 63/m m c'
_space_group_IT_number 194
_space_group_name_Hall '-P 6c 2c'
_cell_length_a 3.9398
_cell_length_b 3.9398
_cell_length_c 5.0172
_cell_angle_alpha 90.00
_cell_angle_beta 90.00
_cell_angle_gamma 120.00
loop_
_atom_site_label
_atom_site_type_symbol
_atom_site_fract_x
_atom_site_fract_y
_atom_site_fract_z
Tc1 Tc 0.0000 0.0000 0.0000
Rh1 Rh 0.3333 0.6667 0.2500
# Fermi-level density of states (states/eV per cell): 7.4
# Size of the total moment (μB/f.u.): 0.00
# Volume (A^3/atom): 16.9
# Calculated total energy (Ry/atom): -0.6012
# Offset from the most stable computed form (eV/atom): 0.8535

# 11
# Ce3Si4Pd4 | Alexandria | PBE-GGA | relaxed
data_Ce3Si4Pd4
_space_group_name_H-M_alt 'I m m m'
_space_group_IT_number 71
_space_group_name_Hall '-I 2 2'
_cell_length_a 4.053
_cell_length_b 4.221
_cell_length_c 24.890
_cell_angle_alpha 90.00
_cell_angle_beta 90.00
_cell_angle_gamma 90.00
loop_
_atom_site_label
_atom_site_type_symbol
_atom_site_fract_x
_atom_site_fract_y
_atom_site_fract_z
Ce1 Ce 0.000 0.000 0.000
Ce2 Ce 0.000 0.500 0.146
Si1 Si 0.000 0.000 0.452
Si2 Si 0.000 0.500 0.305
Pd1 Pd 0.000 0.000 0.250
Pd2 Pd 0.000 0.500 0.403
# Fermi-level density of states (states/eV per cell): 30.5
# Size of the total moment (μB/f.u.): 0.49
# Volume (A^3/atom): 19.4
# Raw formation energy (meV/atom): -896
# Calculated total energy (Ry/atom): -0.4686

# 12
# TbCoTcGe2 | Alexandria | PBE-GGA | relaxed
data_TbCoTcGe2
_space_group_name_H-M_alt 'I -4 m 2'
_space_group_IT_number 119
_space_group_name_Hall 'I -4 -2'
_cell_length_a 4.157
_cell_length_b 4.157
_cell_length_c 10.062
_cell_angle_alpha 90.00
_cell_angle_beta 90.00
_cell_angle_gamma 90.00
loop_
_atom_site_label
_atom_site_type_symbol
_atom_site_fract_x
_atom_site_fract_y
_atom_site_fract_z
Tb1 Tb 0.000 0.000 0.000
Co1 Co 0.000 0.500 0.750
Tc1 Tc 0.000 0.500 0.250
Ge1 Ge 0.000 0.000 0.371
# Fermi-level density of states (states/eV per cell): 8.7
# Size of the total moment (μB/f.u.): 0.00
# Volume (A^3/atom): 17.4
# Calculated total energy (Ry/atom): -0.4972